No. 1
LaPm6Cd5 | PBE-GGA | relaxed

Spin magnetization = 0.33 Bohr magnetons per cell
Energy of formation = -215 meV/atom
E = -3.38 eV per atom

Lattice parameters (Å, degrees): 9.5155 9.5155 9.5155 146.76 131.52 60.04
Last column: nearest neighbours and their distance in Å.
Fractional coordinates of all 12 atoms:
La 0.0000 0.0000 0.0000  8 Pm 3.46-3.50, 4 Cd 3.74
Pm 0.0860 0.8268 0.2592  7 Cd 3.29-3.42, 1 La 3.50
Pm 0.2734 0.5000 0.7734  6 Cd 3.25-3.34, 2 La 3.46, 1 Pm 3.54
Pm 0.4324 0.1732 0.2592  7 Cd 3.29-3.42, 1 La 3.50
Pm 0.5676 0.8268 0.7408  7 Cd 3.29-3.42, 1 La 3.50
Pm 0.7266 0.5000 0.2266  6 Cd 3.25-3.34, 2 La 3.46, 1 Pm 3.54
Pm 0.9140 0.1732 0.7408  7 Cd 3.29-3.42, 1 La 3.50
Cd 0.1559 0.6559 0.5000  8 Pm 3.34-3.40
Cd 0.3307 0.3307 0.0000  8 Pm 3.29-3.31
Cd 0.5000 0.0000 0.5000  8 Pm 3.25-3.42
Cd 0.6693 0.6693 0.0000  8 Pm 3.29-3.31
Cd 0.8441 0.3441 0.5000  8 Pm 3.34-3.40

No. 2
La2Pm2Cd | PBE-GGA | relaxed

Spin magnetization = 0.00 Bohr magnetons per cell
E above lowest polymorph = 59.1 meV per atom
Energy of formation = -59 meV/atom
E = -4.11 eV per atom

Lattice parameters (Å, degrees): 6.4615 6.4615 8.7118 106.93 106.93 94.21
Last column: nearest neighbours and their distance in Å.
Fractional coordinates of all 10 atoms:
La 0.1616 0.1616 0.4268  6 Pm 3.52-3.91, 3 La 3.58-3.69, 2 Cd 3.68
La 0.2857 0.2857 0.8786  4 Pm 3.43-3.63, 3 La 3.44-3.69, 4 Cd 3.46-3.67
La 0.7143 0.7143 0.1214  4 Pm 3.43-3.63, 3 La 3.44-3.69, 4 Cd 3.46-3.67
La 0.8384 0.8384 0.5732  6 Pm 3.52-3.91, 3 La 3.58-3.69, 2 Cd 3.68
Pm 0.2308 0.6049 0.2789  2 Cd 3.17-3.44, 2 La 3.43-3.52, 2 Pm 3.49-3.54
Pm 0.3951 0.7692 0.7211  2 Cd 3.17-3.44, 2 La 3.43-3.52, 2 Pm 3.49-3.54
Pm 0.6049 0.2308 0.2789  2 Cd 3.17-3.44, 2 La 3.43-3.52, 2 Pm 3.49-3.54
Pm 0.7692 0.3951 0.7211  2 Cd 3.17-3.44, 2 La 3.43-3.52, 2 Pm 3.49-3.54
Cd 0.1580 0.8420 0.0000  1 Cd 2.99, 2 Pm 3.17
Cd 0.8420 0.1580 0.0000  1 Cd 2.99, 2 Pm 3.17

No. 3
La5PmCd | PBE-GGA | relaxed

Spin magnetization = 0.00 Bohr magnetons per cell
E above lowest polymorph = 0.0 meV per atom
Energy of formation = 22 meV/atom
E = -4.31 eV per atom

Lattice parameters (Å, degrees): 5.2695 5.2695 9.2292 90.00 90.00 90.00
Last column: nearest neighbours and their distance in Å.
Fractional coordinates of all 7 atoms:
La 0.0000 0.0000 0.0000  8 La 3.69, 4 Pm 3.73
La 0.0000 0.5000 0.2800  2 Cd 3.33, 2 La 3.69, 2 Pm 3.69
La 0.0000 0.5000 0.7200  2 Cd 3.33, 2 La 3.69, 2 Pm 3.69
La 0.5000 0.0000 0.2800  2 Cd 3.33, 2 La 3.69, 2 Pm 3.69
La 0.5000 0.0000 0.7200  2 Cd 3.33, 2 La 3.69, 2 Pm 3.69
Pm 0.5000 0.5000 0.0000  12 La 3.69-3.73
Cd 0.0000 0.0000 0.5000  8 La 3.33

No. 4
La2Pm6Cd | PBE-GGA | relaxed

Spin magnetization = 0.00 Bohr magnetons per cell
E above lowest polymorph = 47.2 meV per atom
Energy of formation = 28 meV/atom
E = -4.34 eV per atom

Lattice parameters (Å, degrees): 9.7965 9.7965 3.6426 100.64 100.64 65.16
Last column: nearest neighbours and their distance in Å.
Fractional coordinates of all 9 atoms:
La 0.1434 0.1434 0.1430  2 La 3.64, 10 Pm 3.65-3.79
La 0.8566 0.8566 0.8570  2 La 3.64, 10 Pm 3.65-3.79
Pm 0.1610 0.4786 0.8191  7 Pm 3.35-3.64, 1 Cd 3.35, 1 La 3.65
Pm 0.2257 0.7743 0.5000  2 Cd 3.42, 6 Pm 3.63-3.64, 4 La 3.78-3.79
Pm 0.4786 0.1610 0.8191  7 Pm 3.35-3.64, 1 Cd 3.35, 1 La 3.65
Pm 0.5214 0.8390 0.1809  7 Pm 3.35-3.64, 1 Cd 3.35, 1 La 3.65
Pm 0.7743 0.2257 0.5000  2 Cd 3.42, 6 Pm 3.63-3.64, 4 La 3.78-3.79
Pm 0.8390 0.5214 0.1809  7 Pm 3.35-3.64, 1 Cd 3.35, 1 La 3.65
Cd 0.5000 0.5000 0.0000  8 Pm 3.35-3.42, 2 Cd 3.64

No. 5
La5PmCd2 | PBE-GGA | relaxed

Spin magnetization = 0.00 Bohr magnetons per cell
Energy of formation = -116 meV/atom
E = -4.02 eV per atom

Lattice parameters (Å, degrees): 8.1649 11.3001 6.9704 90.00 125.84 90.00
Last column: nearest neighbours and their distance in Å.
Fractional coordinates of all 16 atoms:
La 0.0000 0.0000 0.0000  2 La 3.32-3.70, 2 Pm 3.39-3.61, 4 Cd 3.48-3.49
La 0.0199 0.5000 0.0385  2 La 3.36-3.66, 2 Pm 3.41-3.59, 4 Cd 3.48-3.49
La 0.2613 0.2594 0.5219  2 La 3.34-3.68, 2 Pm 3.40-3.60, 4 Cd 3.48-3.50
La 0.2613 0.7406 0.5219  2 La 3.34-3.68, 2 Pm 3.40-3.60, 4 Cd 3.48-3.50
La 0.4533 0.0000 0.5147  1 Pm 3.32, 8 La 3.32-3.70
La 0.5000 0.5000 0.0000  2 La 3.32-3.70, 2 Pm 3.39-3.61, 4 Cd 3.48-3.49
La 0.5199 0.0000 0.0385  2 La 3.36-3.66, 2 Pm 3.41-3.59, 4 Cd 3.48-3.49
La 0.7613 0.2406 0.5219  2 La 3.34-3.68, 2 Pm 3.40-3.60, 4 Cd 3.48-3.50
La 0.7613 0.7594 0.5219  2 La 3.34-3.68, 2 Pm 3.40-3.60, 4 Cd 3.48-3.50
La 0.9533 0.5000 0.5147  1 Pm 3.32, 8 La 3.32-3.70
Pm 0.0487 0.0000 0.5182  9 La 3.32-3.61
Pm 0.5487 0.5000 0.5182  9 La 3.32-3.61
Cd 0.2605 0.2499 0.0226  8 La 3.48-3.50
Cd 0.2605 0.7501 0.0226  8 La 3.48-3.50
Cd 0.7605 0.2501 0.0226  8 La 3.48-3.50
Cd 0.7605 0.7499 0.0226  8 La 3.48-3.50

No. 6
La2Pm8Cd | PBE-GGA | relaxed

Spin magnetization = 0.00 Bohr magnetons per cell
E above lowest polymorph = 0.0 meV per atom
Energy of formation = -12 meV/atom
E = -4.45 eV per atom

Lattice parameters (Å, degrees): 9.5733 9.5733 8.0704 104.75 104.75 31.15
Last column: nearest neighbours and their distance in Å.
Fractional coordinates of all 11 atoms:
La 0.2242 0.2242 0.1354  10 Pm 3.58-3.68, 2 La 3.66
La 0.7758 0.7758 0.8646  10 Pm 3.58-3.68, 2 La 3.66
Pm 0.0440 0.0440 0.2248  9 Pm 3.55-3.67, 1 La 3.58, 2 Cd 3.63
Pm 0.1352 0.1352 0.6754  7 Pm 3.58-3.68, 2 Cd 3.60, 3 La 3.64-3.68
Pm 0.3217 0.3217 0.5923  1 Cd 3.56, 8 Pm 3.58-3.71, 3 La 3.62-3.65
Pm 0.4120 0.4120 0.0576  1 Cd 3.51, 8 Pm 3.55-3.68, 3 La 3.64-3.68
Pm 0.5880 0.5880 0.9424  1 Cd 3.51, 8 Pm 3.55-3.68, 3 La 3.64-3.68
Pm 0.6783 0.6783 0.4077  1 Cd 3.56, 8 Pm 3.58-3.71, 3 La 3.62-3.65
Pm 0.8648 0.8648 0.3246  7 Pm 3.58-3.68, 2 Cd 3.60, 3 La 3.64-3.68
Pm 0.9560 0.9560 0.7752  9 Pm 3.55-3.67, 1 La 3.58, 2 Cd 3.63
Cd 0.5000 0.5000 0.5000  12 Pm 3.51-3.63